Entry 1:
Material: InH8Ir2
Method: DFT, PBE
State: optimized geometry

a = 4.8621 Å, b = 5.3639 Å, c = 7.7311 Å
α = 90.00°, β = 107.00°, γ = 90.00°
Closest atoms and distances in Å follow each position.
Space group C2/m (No. 12)
One atom of each set of equivalent atoms:
In: 0.0000 0.0000 0.0000  2 H 2.31
H: 0.0034 0.5000 0.9005  1 H 1.55, 1 Ir 1.62
H: 0.2067 0.5000 0.5149  2 Ir 1.73-1.84
H: 0.2384 0.2929 0.3132  1 Ir 1.72
Ir: 0.0366 0.5000 0.6984  4 H 1.62-1.73

**E**: -4.1731 eV/atom
**V**: 8.8 A^3/atom
**D(E_F)**: 1.93 states/eV/cell
**Total magnetic moment**: 0.0 μB/f.u.



Entry 2:
Material: TeIrOsPb
Method: DFT, PBE
State: optimized geometry

a = 10.9871 Å, b = 4.5093 Å, c = 4.0869 Å
α = 90.00°, β = 106.23°, γ = 90.00°
Closest atoms and distances in Å follow each position.
Space group Cm (No. 8)
One atom of each set of equivalent atoms:
Te: 0.0000 0.0000 0.0000  2 Os 2.62, 1 Ir 2.70
Ir: 0.2455 0.5000 0.7398  2 Os 2.40-2.42
Os: 0.1242 0.5000 0.1458  2 Ir 2.40-2.42, 2 Te 2.62
Pb: 0.3287 0.0000 0.3549  4 Ir 3.03-3.31, 2 Os 3.13

**E**: -6.2365 eV/atom
**V**: 24.3 A^3/atom
**D(E_F)**: 4.46 states/eV/cell
**Total magnetic moment**: 0.0 μB/f.u.
**E_form (uncorrected)**: 499 meV/atom
**Relative energy among the computed polymorphs**: 0.66 eV per formula unit



Entry 3:
Material: SrCrTe2Ru
Method: DFT, PBE
State: optimized geometry

a = 5.2070 Å, b = 5.2070 Å, c = 5.4545 Å
α = 90.00°, β = 90.00°, γ = 90.00°
Closest atoms and distances in Å follow each position.
Space group P4/mmm (No. 123)
One atom of each set of equivalent atoms:
Sr: 0.0000 0.0000 0.0000  2 Cr 2.73
Cr: 0.0000 0.0000 0.5000  4 Te 2.60, 2 Sr 2.73
Te: 0.0000 0.5000 0.5000  2 Cr 2.60
Ru: 0.5000 0.5000 0.0000  4 Sr 3.68, 8 Te 3.77

**E**: -4.5149 eV/atom
**V**: 29.6 A^3/atom
**D(E_F)**: 7.51 states/eV/cell
**Total magnetic moment**: 6.1 μB/f.u.
**E_form (uncorrected)**: 858 meV/atom



Entry 4:
Material: Ac3Nd3In2Hg
Method: DFT, PBE
State: optimized geometry

a = 9.4908 Å, b = 9.4908 Å, c = 3.9686 Å
α = 90.00°, β = 90.00°, γ = 120.00°
Closest atoms and distances in Å follow each position.
Space group P-62m (No. 189)
One atom of each set of equivalent atoms:
Ac: 0.0000 0.7243 0.0000  2 Hg 3.28, 2 In 3.47
Nd: 0.0000 0.3961 0.5000  4 In 3.52, 6 Ac 3.69-3.88, 1 Hg 3.76
In: 0.3333 0.6667 0.0000  3 Ac 3.47, 6 Nd 3.52
Hg: 0.0000 0.0000 0.5000  6 Ac 3.28

**E**: -3.8803 eV/atom
**V**: 34.4 A^3/atom
**D(E_F)**: 9.47 states/eV/cell
**Total magnetic moment**: 0.0 μB/f.u.
**Energy of formation**: -0.2794 eV per atom



Entry 5:
Material: ZnCoP2
Method: DFT, PBE
State: optimized geometry

a = 4.9845 Å, b = 6.7487 Å, c = 3.1339 Å
α = 90.00°, β = 92.18°, γ = 90.00°
Closest atoms and distances in Å follow each position.
Space group C2/m (No. 12)
One atom of each set of equivalent atoms:
Zn: 0.0000 0.0000 0.0000  2 Co 2.49, 8 P 2.59-2.65
Co: 0.0000 0.5000 0.0000  2 Zn 2.49, 8 P 2.59-2.65
P: 0.2500 0.2500 0.5000  2 P 2.49, 4 Co 2.59-2.65, 4 Zn 2.59-2.65

**E**: -4.5634 eV/atom
**V**: 13.2 A^3/atom
**D(E_F)**: 5.51 states/eV/cell
**Total magnetic moment**: 0.0 μB/f.u.
**Energy of formation**: 0.2365 eV per atom



Entry 6:
Material: Al3In6Br14
Method: DFT, PBE
State: optimized geometry

a = 12.1825 Å, b = 12.1825 Å, c = 6.5126 Å
α = 90.00°, β = 90.00°, γ = 120.00°
Closest atoms and distances in Å follow each position.
Space group P3 (No. 143)
One atom of each set of equivalent atoms:
Al: 0.0000 0.0000 0.0000  6 Br 2.72-2.80
Al: 0.3333 0.6667 0.1749  4 Br 2.31-2.34
Al: 0.6667 0.3333 0.6931  4 Br 2.31-2.34
In: 0.1157 0.3415 0.7665  4 Br 3.18-3.55
In: 0.3333 0.2240 0.2933  3 Br 3.14-3.40
Br: 0.0685 0.2171 0.2351  1 Al 2.80
Br: 0.1281 0.5958 0.0525  1 Al 2.34
Br: 0.2138 0.1439 0.7760  1 Al 2.72
Br: 0.3333 0.6667 0.5302  1 Al 2.31
Br: 0.5295 0.1291 0.5684  1 Al 2.34
Br: 0.6667 0.3333 0.0476  1 Al 2.31

**E**: -3.0505 eV/atom
**V**: 36.4 A^3/atom
**D(E_F)**: 1.31 states/eV/cell
**Total magnetic moment**: 1.0 μB/f.u.
**E_form (uncorrected)**: -830 meV/atom



Entry 7:
Material: U2TcBi
Method: DFT, PBE
State: optimized geometry

a = 3.1825 Å, b = 3.1825 Å, c = 30.6434 Å
α = 90.00°, β = 90.00°, γ = 120.00°
Closest atoms and distances in Å follow each position.
Space group R-3m (No. 166, hexagonal axes)
One atom of each set of equivalent atoms:
U: 0.0000 0.0000 0.2376  3 Tc 2.85, 6 U 3.18
Tc: 0.0000 0.0000 0.5000  6 U 2.85, 6 Tc 3.18
Bi: 0.0000 0.0000 0.0000  6 Bi 3.18, 6 U 3.46

**E**: -8.9724 eV/atom
**V**: 22.4 A^3/atom
**D(E_F)**: 27.33 states/eV/cell
**Total magnetic moment**: 3.4 μB/f.u.
**Energy of formation**: 0.2334 eV per atom
**Relative energy among the computed polymorphs**: 0.41 eV per formula unit



Entry 8:
Material: LiEr2Au
Method: DFT, PBE
State: optimized geometry

a = 7.1436 Å, b = 7.1436 Å, c = 7.1436 Å
α = 90.00°, β = 90.00°, γ = 90.00°
Closest atoms and distances in Å follow each position.
Space group Fm-3m (No. 225)
One atom of each set of equivalent atoms:
Li: 0.0000 0.0000 0.0000  8 Er 3.09
Er: 0.2500 0.2500 0.2500  4 Li 3.09, 4 Au 3.09
Au: 0.0000 0.0000 0.5000  8 Er 3.09

**E**: -4.0009 eV/atom
**V**: 22.8 A^3/atom
**D(E_F)**: 1.68 states/eV/cell
**Total magnetic moment**: 0.0 μB/f.u.
**Energy of formation**: -0.4217 eV per atom